{"formula": "Sr2BeAu", "functional": "meta-GGA SCAN", "state": "single point on PBEsol structure", "magmom_total_mub_per_cell": 0.00, "e_tot_ev_per_atom": -29.56, "ef_kj_per_mol_fu": -17, "lattice": [[-1.997, -3.488, 1.898], [2.177, -2.739, -2.742], [4.685, -0.426, 4.146]], "species": ["Au", "Sr", "Be", "Sr"], "frac_coords": [[0.000, 0.000, 0.375], [0.000, 0.000, 0.875], [0.500, 0.500, 0.875], [0.500, 0.500, 0.375]]}